(1)
Computed, not measured: a PBEsol-optimized structure of Y3TcAs at the SCAN level of DFT.

Unit cell a=5.238 b=5.238 c=5.238 alpha=90.00 beta=90.00 gamma=90.00
Positions (direct):
1 Y 0.000 0.000 0.500
2 Y 0.000 0.500 0.000
3 Y 0.500 0.000 0.000
4 Tc 0.500 0.500 0.500
5 As 0.000 0.000 0.000

Results
As for the total energy: -138.026 eV/cell. The calculated density is 5.08 g/cm³. Its energy of formation is 0.151 eV/atom. As for the symmetry: Pm-3m (221). The spin magnetization is 0.9 Bohr magnetons per cell.

***

(2)
Computed, not measured: a PBEsol-optimized structure of ZnTc2As at the SCAN level of DFT.

Unit cell a=3.775 b=3.775 c=7.841 alpha=90.00 beta=90.00 gamma=90.00
Positions (direct):
1 Zn 0.000 0.000 0.000
2 Zn 0.500 0.500 0.500
3 Tc 0.000 0.000 0.500
4 Tc 0.000 0.500 0.750
5 Tc 0.500 0.000 0.250
6 Tc 0.500 0.500 0.000
7 As 0.000 0.500 0.250
8 As 0.500 0.000 0.750

Results
As for the total energy: -205.972 eV/cell. The calculated density is 10.00 g/cm³. Its energy of formation is 0.210 eV/atom. The calculation puts the offset from the most stable computed form at 137 meV/atom. As for the symmetry: I-4m2 (119). The spin magnetization is 0.0 Bohr magnetons per cell.

***

(3)
Computed, not measured: a PBEsol-optimized structure of ZnTcAs2 at the SCAN level of DFT.

Unit cell a=3.777 b=3.777 c=8.542 alpha=90.00 beta=90.00 gamma=90.00
Positions (direct):
1 Zn 0.000 0.000 0.000
2 Zn 0.500 0.500 0.500
3 Tc 0.000 0.500 0.750
4 Tc 0.500 0.000 0.250
5 As 0.000 0.000 0.500
6 As 0.000 0.500 0.250
7 As 0.500 0.000 0.750
8 As 0.500 0.500 0.000

Results
As for the total energy: -175.142 eV/cell. The calculated density is 8.54 g/cm³. Its energy of formation is 0.346 eV/atom. As for the symmetry: I-4m2 (119). The spin magnetization is 0.0 Bohr magnetons per cell.

***

(4)
Computed, not measured: a PBEsol-optimized structure of ZnTc2As at the SCAN level of DFT.

Unit cell a=2.877 b=2.877 c=23.947 alpha=90.00 beta=90.00 gamma=120.00
Positions (direct):
1 Zn 0.000 0.000 0.000
2 Zn 0.333 0.667 0.667
3 Zn 0.667 0.333 0.333
4 Tc 0.000 0.000 0.245
5 Tc 0.000 0.000 0.755
6 Tc 0.333 0.667 0.421
7 Tc 0.333 0.667 0.912
8 Tc 0.667 0.333 0.088
9 Tc 0.667 0.333 0.579
10 As 0.000 0.000 0.500
11 As 0.333 0.667 0.167
12 As 0.667 0.333 0.833

Results
As for the total energy: -310.043 eV/cell. The calculated density is 9.76 g/cm³. Its energy of formation is 0.120 eV/atom. The calculation puts the offset from the most stable computed form at 46 meV/atom. As for the symmetry: R-3m (166). The spin magnetization is 0.0 Bohr magnetons per cell.

***

(5)
Computed, not measured: a PBEsol-optimized structure of ZnTc2As2 at the SCAN level of DFT.

Unit cell a=4.299 b=4.299 c=9.064 alpha=90.00 beta=90.00 gamma=90.00
Positions (direct):
1 Zn 0.000 0.000 0.000
2 Zn 0.500 0.500 0.500
3 Tc 0.000 0.500 0.250
4 Tc 0.000 0.500 0.750
5 Tc 0.500 0.000 0.250
6 Tc 0.500 0.000 0.750
7 As 0.000 0.000 0.369
8 As 0.000 0.000 0.631
9 As 0.500 0.500 0.131
10 As 0.500 0.500 0.869

Results
As for the total energy: -247.787 eV/cell. The calculated density is 8.15 g/cm³. Its energy of formation is 0.025 eV/atom. As for the symmetry: I4/mmm (139). The spin magnetization is 0.0 Bohr magnetons per cell.

***

(6)
Computed, not measured: a PBEsol-optimized structure of ZnTc2As at the SCAN level of DFT.

Unit cell a=2.991 b=3.976 c=9.707 alpha=90.00 beta=90.00 gamma=90.00
Positions (direct):
1 Zn 0.000 0.000 0.000
2 Zn 0.500 0.500 0.500
3 Tc 0.000 0.000 0.449
4 Tc 0.000 0.500 0.192
5 Tc 0.500 0.000 0.692
6 Tc 0.500 0.500 0.949
7 As 0.000 0.500 0.748
8 As 0.500 0.000 0.248

Results
As for the total energy: -206.923 eV/cell. The calculated density is 9.68 g/cm³. Its energy of formation is 0.091 eV/atom. The calculation puts the offset from the most stable computed form at 18 meV/atom. As for the symmetry: Imm2 (44). The spin magnetization is 0.0 Bohr magnetons per cell.